{"formula": "NiSbP", "functional": "PBE-GGA", "state": "optimized geometry", "crystal_system": "trigonal", "total_magnetization_mub_per_fu": 0.00, "vol_a3_per_cell": 57.3, "raw_formation_energy_ev_per_atom": -0.120, "cell": [[3.7622, 0.0000, 0.0000], [-1.8811, 3.2582, 0.0000], [0.0000, 0.0000, 4.6742]], "species": ["Ni", "Sb", "P"], "fractional_positions": [[0.3333, 0.6667, 0.3428], [0.6667, 0.3333, 0.0286], [0.0000, 0.0000, 0.4573]]}